The following is a DFT calculation (PBE) of a relaxed structure of Tb4NiRh.

Unit cell a=9.1705 b=13.7296 c=6.7733 alpha=90.00 beta=131.93 gamma=90.00
Closest atoms and distances in Å follow each position.
Space group C2/c (No. 15)
One atom of each set of equivalent atoms:
Tb 0.1713 0.2263 0.1650 x8  1 Ni 2.64, 1 Rh 2.89
Tb 0.2480 0.0223 0.7673 x8  2 Ni 2.77-2.82, 1 Rh 2.85
Ni 0.0000 0.1008 0.2500 x4  6 Tb 2.64-2.82
Rh 0.0000 0.3693 0.7500 x4  8 Tb 2.85-3.18

Values from the calculation:
Final energy in eV/cell: -135.62

=====

The following is a DFT calculation (PBE) of a relaxed structure of InAgPd2.

Unit cell a=2.8751 b=4.8437 c=10.8030 alpha=90.00 beta=90.00 gamma=90.00
Closest atoms and distances in Å follow each position.
Space group Immm (No. 71)
One atom of each set of equivalent atoms:
In 0.0000 0.0000 0.0000 x2  2 Pd 2.66, 4 Ag 2.82, 2 In 2.88
Ag 0.0000 0.0000 0.5000 x2  2 Pd 2.74, 4 In 2.82, 2 Ag 2.88
Pd 0.0000 0.0000 0.2463 x4  1 In 2.66, 1 Ag 2.74, 6 Pd 2.82-2.88

Values from the calculation:
Final energy in eV/cell: -31.32

=====

The following is a DFT calculation (PBE) of a relaxed structure of CaTm2Rh.

Unit cell a=3.4696 b=3.4696 c=9.1577 alpha=90.00 beta=90.00 gamma=90.00
Closest atoms and distances in Å follow each position.
Space group P4/mmm (No. 123)
One atom of each set of equivalent atoms:
Ca 0.0000 0.0000 0.0000 x1  4 Ca 3.47, 8 Tm 3.87
Tm 0.5000 0.5000 0.3270 x2  4 Rh 2.92, 1 Tm 3.17
Rh 0.0000 0.0000 0.5000 x1  8 Tm 2.92

Values from the calculation:
Excess energy over the best structure of this formula in the dataset in meV per atom: 0.0

=====

The following is a DFT calculation (PBE) of a relaxed structure of LaCuBr2.

Unit cell a=7.3640 b=7.3640 c=7.3640 alpha=90.00 beta=90.00 gamma=90.00
Closest atoms and distances in Å follow each position.
Space group Fm-3m (No. 225)
One atom of each set of equivalent atoms:
La 0.0000 0.0000 0.0000 x4  8 Br 3.19
Cu 0.0000 0.0000 0.5000 x4  8 Br 3.19
Br 0.2500 0.2500 0.2500 x8  4 Cu 3.19, 4 La 3.19

Values from the calculation:
Formation energy (no corrections) in kcal/mol of atoms: -19.1
Excess energy over the best structure of this formula in the dataset in meV per atom: 146.5

=====

Volume, record by record: 634.5, 150.4, 110.2, 399.3 Å³ per cell